TeSF3 (GGA-PBEsol, optimized geometry); E_form (uncorrected) = -70.51 kJ per mole of atoms; density of states at the Fermi level = 2.7 states/eV per cell; total moment = 1.3 μB per cell; symmetry = Pm-3m, No. 221; V = 16.58 Å³/atom
1.0
4.361 0.000 0.000
0.000 4.361 0.000
0.000 0.000 4.361
Te S F
1 1 3
Cartesian
0.000 0.000 0.000
2.180 2.180 2.180
0.000 0.000 2.180
0.000 2.180 0.000
2.180 0.000 0.000

TeSF2 (GGA-PBEsol, optimized geometry); E_form (uncorrected) = -72.45 kJ per mole of atoms; density of states at the Fermi level = 4.7 states/eV per cell; total moment = 0.5 μB per cell; symmetry = I-42d, No. 122; V = 15.30 Å³/atom
1.0
-1.970 1.970 7.886
1.970 -1.970 7.886
1.970 1.970 -7.886
Te S F
2 2 4
Cartesian
0.000 0.000 0.000
0.000 1.970 3.943
1.970 0.000 3.943
0.000 0.000 7.886
2.955 0.654 -1.971
0.654 0.985 1.971
-0.985 1.315 5.914
1.315 0.985 9.857

Q: Among the records above, which one has the lowest density of states at the Fermi level?
A: TeSF3